Record 1
## CaAc2Al2 (PBE)

Data for an optimized crystal structure of CaAc2Al2.

a b c (Å): 8.4567 8.4567 4.7864
angles (deg): 90.00 90.00 149.64
Closest atoms and distances in Å follow each position.
Positions (direct):
Ca 0.0000 0.0000 0.0000  2 Al 3.33
Ac 0.3569 0.6431 0.5000  6 Al 3.41-3.46
Ac 0.6431 0.3569 0.5000  6 Al 3.41-3.46
Al 0.2041 0.7959 0.0000  2 Al 2.67
Al 0.7959 0.2041 0.0000  2 Al 2.67

## Properties
Its calculated formation energy is -0.230 eV per atom. The calculation puts the total DFT energy (no corrections) at -18.856 eV for the cell shown.

---

Record 2
## TaNi3Te (PBE)

Data for an optimized crystal structure of TaNi3Te.

a b c (Å): 4.5113 4.5113 4.5113
angles (deg): 90.00 90.00 90.00
Closest atoms and distances in Å follow each position.
Positions (direct):
Ta 0.0000 0.0000 0.0000  12 Ni 3.19
Ni 0.0000 0.5000 0.5000  2 Te 2.26
Ni 0.5000 0.0000 0.5000  2 Te 2.26
Ni 0.5000 0.5000 0.0000  2 Te 2.26
Te 0.5000 0.5000 0.5000  6 Ni 2.26

## Properties
As for the uncorrected formation energy: 1119 meV/atom. The calculation puts the total DFT energy (no corrections) at -26.745 eV for the cell shown. The energy relative to the lowest polymorph listed for this composition is 0.000 eV/atom.

---

Record 3
## Sr2Ge5Pt3 (PBE)

Data for an optimized crystal structure of Sr2Ge5Pt3.

a b c (Å): 8.6740 8.6740 8.6740
angles (deg): 105.78 89.64 137.26
Closest atoms and distances in Å follow each position.
Positions (direct):
Sr 0.1312 0.2358 0.3670  10 Ge 3.16-3.43, 4 Pt 3.29-3.51
Sr 0.3688 0.7358 0.1047  10 Ge 3.16-3.43, 4 Pt 3.29-3.51
Sr 0.6312 0.2642 0.8953  10 Ge 3.16-3.43, 4 Pt 3.29-3.51
Sr 0.8688 0.7642 0.6330  10 Ge 3.16-3.43, 4 Pt 3.29-3.51
Ge 0.0164 0.7500 0.2664  2 Pt 2.55, 2 Ge 2.72
Ge 0.1064 0.6501 0.7565  3 Pt 2.51-2.58, 2 Ge 2.72
Ge 0.2500 0.2500 0.0000  4 Pt 2.57
Ge 0.3936 0.1501 0.5437  3 Pt 2.51-2.58, 2 Ge 2.72
Ge 0.4836 0.7500 0.7336  2 Pt 2.55, 2 Ge 2.72
Ge 0.5164 0.2500 0.2664  2 Pt 2.55, 2 Ge 2.72
Ge 0.6064 0.8499 0.4563  3 Pt 2.51-2.58, 2 Ge 2.72
Ge 0.7500 0.7500 0.0000  4 Pt 2.57
Ge 0.8936 0.3499 0.2435  3 Pt 2.51-2.58, 2 Ge 2.72
Ge 0.9836 0.2500 0.7336  2 Pt 2.55, 2 Ge 2.72
Pt 0.1345 0.8873 0.0218  5 Ge 2.51-2.57
Pt 0.2500 0.7500 0.5000  6 Ge 2.58-2.87
Pt 0.3655 0.3873 0.7528  5 Ge 2.51-2.57
Pt 0.6345 0.6127 0.2472  5 Ge 2.51-2.57
Pt 0.7500 0.2500 0.5000  6 Ge 2.58-2.87
Pt 0.8655 0.1127 0.9782  5 Ge 2.51-2.57

## Properties
Its calculated formation energy is -0.723 eV per atom. The calculation puts the total DFT energy (no corrections) at -103.601 eV for the cell shown.

---

Record 4
## FeTeSeBr2 (PBE)

Data for an optimized crystal structure of FeTeSeBr2.

a b c (Å): 4.8435 4.8435 4.8094
angles (deg): 90.00 90.00 90.00
Closest atoms and distances in Å follow each position.
Positions (direct):
Fe 0.0000 0.0000 0.0000  2 Se 2.40, 4 Br 2.42
Te 0.5000 0.5000 0.5000  8 Br 3.41, 4 Se 3.42
Se 0.0000 0.0000 0.5000  2 Fe 2.40
Br 0.0000 0.5000 0.0000  2 Fe 2.42
Br 0.5000 0.0000 0.0000  2 Fe 2.42

## Properties
As for the uncorrected formation energy: 301 meV/atom. The calculation puts the total DFT energy (no corrections) at -16.928 eV for the cell shown. The energy relative to the lowest polymorph listed for this composition is 0.000 eV/atom.

---

Number 2 is which compound? TaNi3Te